# meta-GGA SCAN Mg2AlCo, single point on PBEsol structure
# Calculated volume ... 16.20 A^3/atom
# E_form ... -0.128 eV per atom
# Total magnetic moment ... 0.138 μB per atom
# Raw total energy ... -35.51 eV for the cell shown
data_Mg2AlCo
_chemical_formula_sum 'Mg2 Al1 Co1'
_symmetry_space_group_name_H-M 'P 4 m m'
_symmetry_Int_Tables_number 99
_cell_length_a 3.0026
_cell_length_b 3.0026
_cell_length_c 7.1887
_cell_angle_alpha 90.00
_cell_angle_beta 90.00
_cell_angle_gamma 90.00
loop_
_symmetry_equiv_pos_as_xyz
'x,y,z'
'-y,x,z'
'-x,-y,z'
'y,-x,z'
'-x,y,z'
'y,x,z'
'x,-y,z'
'-y,-x,z'
loop_
_atom_site_label
_atom_site_type_symbol
_atom_site_fract_x
_atom_site_fract_y
_atom_site_fract_z
_atom_site_occupancy
Mg1 Mg 0.0000 0.0000 0.0000 1
Mg2 Mg 0.5000 0.5000 0.3300 1
Al1 Al 0.0000 0.0000 0.6151 1
Co1 Co 0.5000 0.5000 0.7695 1